(1)
Crystalline CaAg12 at its relaxed geometry, computed with PBE-GGA.

Computed properties:
- DFT formation energy: -0.04 eV/atom

Structure (POSCAR):
```
CaAg12
1.0
5.476 0.000 0.000
2.738 6.830 0.000
2.738 0.000 6.830
Ag Ca
12 1
direct
0.353 0.647 0.647
0.716 0.784 0.784
0.000 0.500 0.000
0.500 0.000 0.500
0.500 0.784 0.216
0.500 0.216 0.784
0.000 0.353 0.647
0.284 0.216 0.216
0.000 0.000 0.500
0.000 0.647 0.353
0.647 0.353 0.353
0.500 0.500 0.000
0.000 0.000 0.000
```

(2)
Crystalline CaAg at its relaxed geometry, computed with PBE-GGA.

Computed properties:
- DFT formation energy: -0.16 eV/atom

Structure (POSCAR):
```
CaAg
1.0
-3.298 -1.237 4.992
4.810 -2.843 2.472
1.834 5.296 2.524
Ag Ca
4 4
direct
0.187 0.813 0.500
0.813 0.187 0.500
0.687 0.687 0.000
0.313 0.313 0.000
0.704 0.704 0.500
0.796 0.204 0.000
0.204 0.796 0.000
0.296 0.296 0.500
```

(3)
Crystalline Ca2Ag at its relaxed geometry, computed with PBE-GGA.

Computed properties:
- DFT formation energy: -0.13 eV/atom

Structure (POSCAR):
```
Ca2Ag
1.0
4.174 0.000 0.000
0.000 6.982 0.000
0.000 0.000 7.341
Ca Ag
4 2
direct
0.000 0.238 0.660
0.000 0.762 0.340
0.500 0.262 0.160
0.500 0.738 0.840
0.500 0.500 0.500
0.000 0.000 0.000
```

(4)
Crystalline Ca5Ag at its relaxed geometry, computed with PBE-GGA.

Computed properties:
- DFT formation energy: 0.02 eV/atom

Structure (POSCAR):
```
Ca5Ag
1.0
-2.576 5.581 -1.964
2.315 -0.551 5.998
5.328 1.794 -1.892
Ca Ag
5 1
direct
0.333 0.667 0.500
0.315 0.315 0.000
0.000 0.685 0.000
0.667 0.333 0.500
0.685 0.000 0.000
0.000 0.000 0.500
```

(5)
Crystalline Ca3Ag at its relaxed geometry, computed with PBE-GGA.

Computed properties:
- DFT formation energy: 0.04 eV/atom

Structure (POSCAR):
```
Ca3Ag
1.0
6.640 -0.005 -0.015
-2.989 5.930 -0.015
-2.989 -4.850 3.412
Ca Ag
3 1
direct
0.500 0.000 0.500
0.500 0.500 0.000
0.000 0.500 0.500
0.000 0.000 0.000
```

(6)
Crystalline CaAg3 at its relaxed geometry, computed with PBE-GGA.

Computed properties:
- DFT formation energy: -0.21 eV/atom

Structure (POSCAR):
```
CaAg3
1.0
-3.872 -1.218 2.885
1.382 -5.252 -0.363
3.583 0.593 5.059
Ag Ca
6 2
direct
0.000 0.295 0.500
0.500 0.159 0.253
0.000 0.841 0.753
0.500 0.705 0.000
0.500 0.159 0.747
0.000 0.841 0.247
0.500 0.654 0.500
0.000 0.346 0.000
```

(7)
Crystalline Ca3Ag at its relaxed geometry, computed with PBE-GGA.

Computed properties:
- DFT formation energy: -0.08 eV/atom

Structure (POSCAR):
```
Ca3Ag
1.0
3.951 0.000 0.000
-1.976 3.422 0.000
0.000 0.000 10.567
Ca Ag
3 1
direct
0.000 0.000 0.500
0.667 0.333 0.197
0.667 0.333 0.803
0.000 0.000 0.000
```

(8)
Crystalline CaAg at its relaxed geometry, computed with PBE-GGA.

Computed properties:
- DFT formation energy: -0.19 eV/atom

Structure (POSCAR):
```
CaAg
1.0
3.757 0.000 0.000
0.000 3.757 0.000
0.000 0.000 7.734
Ag Ca
2 2
direct
0.500 0.500 0.216
0.000 0.000 0.034
0.500 0.500 0.814
0.000 0.000 0.436
```

Mass density
In order: 8.67, 4.28, 2.92, 2.39, 2.84, 7.16, 2.65, 4.50
Unit: g/cm³